1.
{"formula": "Ce3Al4Si2", "functional": "PBE", "state": "relaxed", "formation_energy_uncorrected_ev_per_atom": -0.5078, "dos_ef_per_ev_cell": 16.653, "total_energy_ev_per_atom": -5.354, "magnetic_moment_mub_per_fu": 2.30, "cell": [[4.279, 0.000, 0.000], [-2.139, 5.461, -1.025], [0.000, -0.318, 8.494]], "species": ["Si", "Si", "Al", "Al", "Al", "Al", "Ce", "Ce", "Ce"], "fractional_positions": [[0.611, 0.221, 0.279], [0.389, 0.779, 0.721], [0.726, 0.452, 0.064], [0.050, 0.100, 0.381], [0.274, 0.548, 0.936], [0.950, 0.900, 0.619], [0.331, 0.662, 0.338], [0.000, 0.000, 0.000], [0.669, 0.338, 0.662]]}



2.
{"formula": "CeAl2Si", "functional": "PBE", "state": "relaxed", "formation_energy_uncorrected_ev_per_atom": -0.3850, "dos_ef_per_ev_cell": 4.696, "total_energy_ev_per_atom": -5.095, "magnetic_moment_mub_per_fu": 0.00, "cell": [[-0.859, 3.785, 2.105], [-1.855, -2.146, 3.102], [3.682, -0.281, 2.008]], "species": ["Si", "Ce", "Al", "Al"], "fractional_positions": [[0.500, 0.500, 0.500], [0.500, 0.000, 0.000], [0.000, 0.500, 0.000], [0.000, 0.000, 0.500]]}



3.
{"formula": "Ce4AlSi", "functional": "PBE", "state": "relaxed", "formation_energy_uncorrected_ev_per_atom": -0.2347, "dos_ef_per_ev_cell": 13.522, "total_energy_ev_per_atom": -5.718, "magnetic_moment_mub_per_fu": 0.01, "cell": [[4.720, 0.004, 1.738], [2.536, 5.268, 0.387], [0.608, -1.480, 5.637]], "species": ["Al", "Ce", "Ce", "Ce", "Ce", "Si"], "fractional_positions": [[0.000, 0.000, 0.000], [0.251, 0.418, 0.082], [0.251, 0.082, 0.418], [0.749, 0.918, 0.582], [0.749, 0.582, 0.918], [0.500, 0.500, 0.500]]}